ZrCdCu3 | Alexandria via LeMat-Bulk | GGA-PBE | optimized geometry; calculated density = 6.5 g/cm3; offset from the most stable computed form = 0 meV per atom; space group = Pm-3m; calculated formation energy = 860 meV/atom
1.0
4.656 0.000 0.000
0.000 4.656 0.000
0.000 0.000 4.656
Zr Cd Cu
1 1 3
Cartesian
0.000 0.000 0.000 Zr
2.328 2.328 2.328 Cd
0.000 2.328 2.328 Cu
2.328 0.000 2.328 Cu
2.328 2.328 0.000 Cu

=====

Cs2K2Pb15 | Alexandria via LeMat-Bulk | GGA-PBE | optimized geometry; calculated density = 8.4 g/cm3; space group = R-3m; calculated formation energy = -86 meV/atom
1.0
5.899 3.406 5.687
-5.899 3.406 5.687
0.000 -6.812 5.687
Cs K Pb
2 2 15
Cartesian
0.000 0.000 2.641 Cs
0.000 0.000 14.419 Cs
0.000 0.000 6.782 K
0.000 0.000 10.278 K
-2.950 -1.703 5.687 Pb
0.000 -3.481 5.442 Pb
-3.015 1.741 5.442 Pb
-1.781 -3.085 8.530 Pb
-3.562 0.000 8.530 Pb
-3.015 -1.741 11.618 Pb
-2.950 1.703 11.373 Pb
1.781 -3.085 8.530 Pb
0.000 3.406 5.687 Pb
-1.781 3.085 8.530 Pb
3.015 1.741 5.442 Pb
3.562 0.000 8.530 Pb
1.781 3.085 8.530 Pb
3.015 -1.741 11.618 Pb
0.000 3.481 11.618 Pb

=====

Hf8ZrGa2 | Alexandria via LeMat-Bulk | GGA-PBE | optimized geometry; calculated density = 11.5 g/cm3; space group = C2/m; calculated formation energy = -14 meV/atom
1.0
3.952 -6.443 0.000
3.952 6.443 0.000
-2.093 0.000 4.710
Hf Zr Ga
8 1 2
Cartesian
0.359 1.495 2.865 Hf
3.952 3.546 0.000 Hf
0.359 -1.495 2.865 Hf
2.783 0.000 0.898 Hf
3.028 0.000 3.813 Hf
5.452 1.495 1.845 Hf
3.952 -3.546 0.000 Hf
5.452 -1.495 1.845 Hf
0.000 0.000 0.000 Zr
2.905 2.524 2.355 Ga
2.905 -2.524 2.355 Ga

=====

Tb2Ga5Ir3 | Alexandria via LeMat-Bulk | GGA-PBE | optimized geometry; calculated density = 11.4 g/cm3; space group = Cmc2_1; calculated formation energy = -695 meV/atom
1.0
2.155 -12.292 0.000
2.155 12.292 0.000
0.000 0.000 6.851
Tb Ga Ir
4 10 6
Cartesian
2.155 11.779 3.425 Tb
2.155 4.335 3.846 Tb
2.155 -4.335 0.421 Tb
2.155 -11.779 0.000 Tb
2.155 9.799 5.915 Ga
2.155 7.229 2.560 Ga
2.155 7.136 5.294 Ga
2.155 3.073 0.082 Ga
2.155 1.282 4.607 Ga
2.155 -1.282 1.182 Ga
2.155 -3.073 3.507 Ga
2.155 -7.136 1.869 Ga
2.155 -7.229 5.986 Ga
2.155 -9.799 2.490 Ga
2.155 9.629 1.672 Ir
2.155 5.589 0.523 Ir
2.155 1.234 1.954 Ir
2.155 -1.234 5.379 Ir
2.155 -5.589 3.948 Ir
2.155 -9.629 5.097 Ir

=====

Li2ZnBS4 | Alexandria via LeMat-Bulk | GGA-PBE | optimized geometry; calculated density = 2.5 g/cm3; space group = I-4; E_form (uncorrected) = -5.8 eV per formula unit
1.0
-2.749 2.749 4.728
2.749 -2.749 4.728
2.749 2.749 -4.728
Li Zn B S
2 1 1 4
Cartesian
0.000 0.000 0.000 Li
0.000 2.749 2.364 Li
2.749 0.000 2.364 Zn
0.000 0.000 4.728 B
1.599 1.635 -1.077 S
3.863 1.599 1.077 S
1.151 1.114 3.651 S
-1.114 1.151 5.805 S

=====

PRh2Se | Alexandria via LeMat-Bulk | GGA-PBE | optimized geometry; calculated density = 7.9 g/cm3; space group = Pmmm; E_form (uncorrected) = -0.5 eV per formula unit
1.0
3.245 0.000 0.000
0.000 3.445 0.000
0.000 0.000 5.946
P Rh Se
1 2 1
Cartesian
0.000 0.000 0.000 P
0.000 1.723 1.424 Rh
0.000 1.723 4.521 Rh
1.622 0.000 2.973 Se

=====

Ti4TlH2 | Alexandria via LeMat-Bulk | GGA-PBE | optimized geometry; calculated density = 6.9 g/cm3; space group = R-3m; electronic total energy = -0.433 Ry per atom
1.0
1.517 0.876 11.946
-1.517 0.876 11.946
0.000 -1.752 11.946
Ti Tl H
4 1 2
Cartesian
0.000 0.000 4.852 Ti
0.000 0.000 9.490 Ti
0.000 0.000 26.348 Ti
0.000 0.000 30.987 Ti
0.000 0.000 0.000 Tl
0.000 0.000 15.521 H
0.000 0.000 20.318 H

=====

Nb3ReMo2 | Alexandria via LeMat-Bulk | GGA-PBE | optimized geometry; calculated density = 10.8 g/cm3; offset from the most stable computed form = 10 meV per atom; space group = P4/mmm; calculated formation energy = -194 meV/atom
1.0
3.219 0.000 0.000
0.000 3.219 0.000
0.000 0.000 9.702
Nb Re Mo
3 1 2
Cartesian
0.000 0.000 0.000 Nb
0.000 0.000 3.249 Nb
0.000 0.000 6.453 Nb
1.610 1.610 4.851 Re
1.610 1.610 1.621 Mo
1.610 1.610 8.080 Mo

=====

LaTlIn2Ni | Alexandria via LeMat-Bulk | GGA-PBE | optimized geometry; calculated density = 8.2 g/cm3; offset from the most stable computed form = 121 meV per atom; space group = P4/mmm; calculated formation energy = -195 meV/atom
1.0
5.004 0.000 0.000
0.000 5.004 0.000
0.000 0.000 5.080
La Tl In Ni
1 1 2 1
Cartesian
0.000 0.000 0.000 La
2.502 2.502 0.000 Tl
0.000 2.502 2.540 In
2.502 0.000 2.540 In
2.502 2.502 2.540 Ni

=====

ScPa2ReC4 | Alexandria via LeMat-Bulk | GGA-PBE | optimized geometry; calculated density = 10.1 g/cm3; space group = Cmcm; calculated formation energy = -54 meV/atom
1.0
1.765 -5.819 0.000
1.765 5.819 0.000
0.000 0.000 11.875
Sc Pa Re C
2 4 2 8
Cartesian
1.765 4.217 8.906 Sc
1.765 -4.217 2.969 Sc
1.765 1.553 6.410 Pa
1.765 1.553 11.402 Pa
1.765 -1.553 0.473 Pa
1.765 -1.553 5.465 Pa
1.765 4.292 2.969 Re
1.765 -4.292 8.906 Re
0.000 0.000 0.000 C
0.000 0.000 5.938 C
1.765 2.784 1.592 C
1.765 2.784 4.346 C
1.765 0.589 8.906 C
1.765 -0.589 2.969 C
1.765 -2.784 7.530 C
1.765 -2.784 10.283 C

=====

YHg2Br | Alexandria via LeMat-Bulk | GGA-PBE | optimized geometry; calculated density = 8.6 g/cm3; offset from the most stable computed form = 24 meV per atom; space group = Imm2; E_form (uncorrected) = -2.3 eV per formula unit
1.0
-1.853 2.759 5.402
1.853 -2.759 5.402
1.853 2.759 -5.402
Y Hg Br
1 2 1
Cartesian
0.000 0.000 0.000 Y
0.000 0.000 5.269 Hg
0.000 2.759 2.749 Hg
1.853 0.000 2.184 Br

=====

Th2P3Ir4Au | Alexandria via LeMat-Bulk | GGA-PBE | optimized geometry; calculated density = 14.2 g/cm3; space group = P-4m2; calculated formation energy = -839 meV/atom
1.0
4.036 0.000 0.000
0.000 4.036 0.000
0.000 0.000 10.969
Th P Ir Au
2 3 4 1
Cartesian
0.000 2.018 2.709 Th
2.018 0.000 8.260 Th
0.000 2.018 9.616 P
2.018 0.000 1.354 P
2.018 2.018 5.485 P
0.000 0.000 0.000 Ir
0.000 2.018 7.363 Ir
2.018 0.000 3.607 Ir
2.018 2.018 0.000 Ir
0.000 0.000 5.485 Au

=====

U4Ga6Fe7 | Alexandria via LeMat-Bulk | GGA-PBE | optimized geometry; calculated density = 11.0 g/cm3; space group = Im-3m; calculated formation energy = -127 meV/atom
1.0
-4.045 4.045 4.045
4.045 -4.045 4.045
4.045 4.045 -4.045
U Ga Fe
4 6 7
Cartesian
2.023 2.023 -2.023 U
2.023 -2.023 2.023 U
-2.023 2.023 2.023 U
2.023 2.023 2.023 U
2.564 0.000 0.000 Ga
5.527 0.000 0.000 Ga
0.000 2.564 0.000 Ga
0.000 0.000 2.564 Ga
0.000 5.527 0.000 Ga
0.000 0.000 5.527 Ga
0.000 0.000 0.000 Fe
4.045 2.023 0.000 Fe
4.045 0.000 2.023 Fe
2.023 4.045 0.000 Fe
2.023 0.000 4.045 Fe
0.000 4.045 2.023 Fe
0.000 2.023 4.045 Fe

=====

BeRe2F | Alexandria via LeMat-Bulk | GGA-PBE | optimized geometry; calculated density = 12.9 g/cm3; offset from the most stable computed form = 228 meV per atom; space group = I-42d; E_form (uncorrected) = 3.1 eV per formula unit
1.0
-3.237 3.237 2.467
3.237 -3.237 2.467
3.237 3.237 -2.467
Be Re F
2 4 2
Cartesian
0.000 0.000 0.000 Be
0.000 3.237 1.234 Be
1.618 1.910 -0.617 Re
4.563 1.618 0.617 Re
1.618 1.327 1.851 Re
-1.327 1.618 3.084 Re
3.237 0.000 1.234 F
0.000 0.000 2.467 F

=====

BaNaBrF2 | Alexandria via LeMat-Bulk | GGA-PBE | optimized geometry; calculated density = 3.6 g/cm3; space group = P4mm; E_form (uncorrected) = -14.6 eV per formula unit
1.0
4.397 0.000 0.000
0.000 4.397 0.000
0.000 0.000 6.721
Ba Na Br F
1 1 1 2
Cartesian
0.000 0.000 0.000 Ba
2.198 2.198 2.185 Na
2.198 2.198 5.111 Br
0.000 2.198 1.379 F
2.198 0.000 1.379 F

=====

Na2LaGaSb2 | Alexandria via LeMat-Bulk | GGA-PBE | optimized geometry; calculated density = 4.7 g/cm3; space group = Pmc2_1; E_form (uncorrected) = -3.4 eV per formula unit
1.0
4.582 0.000 0.000
0.000 9.094 0.000
0.000 0.000 8.504
Na La Ga Sb
4 2 2 4
Cartesian
0.000 0.843 0.000 Na
0.000 8.251 4.252 Na
2.291 1.340 2.813 Na
2.291 7.754 7.065 Na
2.291 4.383 8.289 La
2.291 4.712 4.037 La
0.000 2.961 5.231 Ga
0.000 6.133 0.979 Ga
0.000 3.315 1.937 Sb
0.000 5.780 6.189 Sb
2.291 1.664 6.178 Sb
2.291 7.430 1.927 Sb

=====

ZrSiAu2I | Alexandria via LeMat-Bulk | GGA-PBE | optimized geometry; calculated density = 8.8 g/cm3; space group = P4/mmm; E_form (uncorrected) = 0.6 eV per formula unit
1.0
4.751 0.000 0.000
0.000 4.751 0.000
0.000 0.000 5.344
Zr Si Au I
1 1 2 1
Cartesian
0.000 0.000 0.000 Zr
0.000 0.000 2.672 Si
0.000 2.376 2.672 Au
2.376 0.000 2.672 Au
2.376 2.376 0.000 I

=====

Fe2Co2Re | Alexandria via LeMat-Bulk | GGA-PBE | optimized geometry; calculated density = 11.7 g/cm3; offset from the most stable computed form = 0 meV per atom; space group = P4/mbm; calculated formation energy = 201 meV/atom
1.0
6.686 0.000 0.000
0.000 6.686 0.000
0.000 0.000 2.639
Fe Co Re
4 4 2
Cartesian
1.137 2.206 0.000 Fe
2.206 5.548 0.000 Fe
4.480 1.137 0.000 Fe
5.548 4.480 0.000 Fe
0.853 4.196 1.320 Co
2.490 0.853 1.320 Co
4.196 5.833 1.320 Co
5.833 2.490 1.320 Co
0.000 0.000 1.320 Re
3.343 3.343 1.320 Re

=====

BeFeTc3 | Alexandria via LeMat-Bulk | GGA-PBE | optimized geometry; calculated density = 8.9 g/cm3; offset from the most stable computed form = 0 meV per atom; space group = Pm-3m; calculated formation energy = 792 meV/atom
1.0
4.058 0.000 0.000
0.000 4.058 0.000
0.000 0.000 4.058
Be Fe Tc
1 1 3
Cartesian
0.000 0.000 0.000 Be
2.029 2.029 2.029 Fe
0.000 0.000 2.029 Tc
0.000 2.029 0.000 Tc
2.029 0.000 0.000 Tc

=====

MgIn2Bi2Pb | Alexandria via LeMat-Bulk | GGA-PBE | optimized geometry; calculated density = 8.3 g/cm3; space group = Pmc2_1; calculated formation energy = -37 meV/atom
1.0
5.438 0.000 0.000
0.000 9.474 0.000
0.000 0.000 6.867
Mg In Bi Pb
2 4 4 2
Cartesian
0.000 1.614 0.000 Mg
0.000 7.860 3.433 Mg
0.000 4.619 1.982 In
0.000 4.855 5.416 In
2.719 3.213 3.762 In
2.719 6.261 0.328 In
0.000 1.483 3.653 Bi
0.000 7.991 0.220 Bi
2.719 3.028 0.278 Bi
2.719 6.445 3.711 Bi
2.719 0.038 1.893 Pb
2.719 9.436 5.326 Pb

=====

BaTc3Ir | Alexandria via LeMat-Bulk | GGA-PBE | optimized geometry; calculated density = 9.0 g/cm3; offset from the most stable computed form = 0 meV per atom; space group = Pm-3m; calculated formation energy = 1282 meV/atom
1.0
4.861 0.000 0.000
0.000 4.861 0.000
0.000 0.000 4.861
Ba Tc Ir
1 3 1
Cartesian
0.000 0.000 0.000 Ba
0.000 2.430 2.430 Tc
2.430 0.000 2.430 Tc
2.430 2.430 0.000 Tc
2.430 2.430 2.430 Ir

=====

ZnSnRh2 | Alexandria via LeMat-Bulk | GGA-PBE | optimized geometry; calculated density = 9.4 g/cm3; space group = I-42d; calculated formation energy = -24 meV/atom
1.0
-3.453 3.453 2.889
3.453 -3.453 2.889
3.453 3.453 -2.889
Zn Sn Rh
2 2 4
Cartesian
0.000 0.000 0.000 Zn
0.000 3.453 1.444 Zn
3.453 0.000 1.444 Sn
0.000 0.000 2.889 Sn
5.179 1.620 -0.722 Rh
1.620 1.726 0.722 Rh
-1.726 1.833 2.167 Rh
1.833 1.726 3.611 Rh

=====

Tm2In3Hg3 | Alexandria via LeMat-Bulk | GGA-PBE | optimized geometry; calculated density = 11.1 g/cm3; space group = Pmmm; calculated formation energy = -324 meV/atom
1.0
4.561 0.000 0.000
0.000 4.586 0.000
0.000 0.000 9.143
Tm In Hg
2 3 3
Cartesian
0.000 0.000 2.266 Tm
0.000 0.000 6.877 Tm
0.000 2.293 4.572 In
2.281 0.000 0.000 In
2.281 0.000 4.572 In
0.000 2.293 0.000 Hg
2.281 2.293 2.318 Hg
2.281 2.293 6.825 Hg